No. 1
First-principles (GGA-PBE) data for a geometry-optimized La2Pm2Nd6Mg structure, as listed in Alexandria via LeMat-Bulk.

Results
raw total energy	-4.34	eV per atom
space group	C2/m (12)

a = 6.185 Å, b = 6.185 Å, c = 11.914 Å
α = 94.42°, β = 94.42°, γ = 118.99°
Element x y z (fractional)
La 0.826 0.174 0.000
La 0.174 0.826 0.000
Pm 0.333 0.667 0.500
Pm 0.667 0.333 0.500
Nd 0.747 0.747 0.749
Nd 0.078 0.404 0.747
Nd 0.253 0.253 0.251
Nd 0.404 0.078 0.747
Nd 0.922 0.596 0.253
Nd 0.596 0.922 0.253
Mg 0.000 0.000 0.500

***

No. 2
First-principles (GGA-PBE) data for a geometry-optimized HfSiC3 structure, as listed in Alexandria via LeMat-Bulk.

Results
energy above the most stable polymorph in this dataset	1.1048	eV per atom
E_form (uncorrected)	2241	meV/atom
space group	Pm-3m (221)

a = 4.281 Å, b = 4.281 Å, c = 4.281 Å
α = 90.00°, β = 90.00°, γ = 90.00°
Element x y z (fractional)
Si 0.500 0.500 0.500
Hf 0.000 0.000 0.000
C 0.000 0.500 0.000
C 0.000 0.000 0.500
C 0.500 0.000 0.000

***

No. 3
First-principles (GGA-PBE) data for a geometry-optimized NdSm3Co8 structure, as listed in Alexandria via LeMat-Bulk.

Results
raw total energy	-6.39	eV per atom
space group	R3m (160)

a = 5.146 Å, b = 5.146 Å, c = 8.911 Å
α = 73.22°, β = 73.22°, γ = 60.00°
Last column: magnetic moment on the atom in μB.
Element x y z (fractional)
Nd 0.875 0.875 0.375  -0.21
Sm 0.375 0.375 0.875  -0.22
Sm 0.000 0.000 0.000  -0.22
Sm 0.500 0.500 0.500  -0.22
Co 0.939 0.438 0.186  1.13
Co 0.436 0.938 0.689  1.14
Co 0.438 0.438 0.186  1.13
Co 0.938 0.938 0.689  1.14
Co 0.187 0.187 0.438  1.13
Co 0.688 0.688 0.937  1.15
Co 0.438 0.939 0.186  1.13
Co 0.938 0.436 0.689  1.14

***

No. 4
First-principles (GGA-PBE) data for a geometry-optimized Ac3In3Cu2 structure, as listed in Alexandria via LeMat-Bulk.

Results
raw total energy	-3.91	eV per atom
space group	Cmcm (63)

a = 4.873 Å, b = 6.194 Å, c = 16.534 Å
α = 90.00°, β = 90.00°, γ = 113.16°
Element x y z (fractional)
Ac 0.907 0.813 0.392
Ac 0.093 0.187 0.892
Ac 0.907 0.813 0.108
Ac 0.093 0.187 0.608
Ac 0.623 0.245 0.250
Ac 0.377 0.755 0.750
In 0.625 0.250 0.462
In 0.375 0.750 0.962
In 0.625 0.250 0.038
In 0.375 0.750 0.538
In 0.325 0.651 0.250
In 0.675 0.349 0.750
Cu 0.797 0.594 0.900
Cu 0.203 0.406 0.400
Cu 0.797 0.594 0.600
Cu 0.203 0.406 0.100

***

No. 5
First-principles (GGA-PBE) data for a geometry-optimized PrY3Tm2P6 structure, as listed in Alexandria via LeMat-Bulk.

Results
raw total energy	-7.05	eV per atom
space group	C2/m (12)

a = 6.974 Å, b = 6.974 Å, c = 6.975 Å
α = 99.60°, β = 99.60°, γ = 120.00°
Element x y z (fractional)
Pr 0.000 0.000 0.000
Y 0.165 0.835 0.500
Y 0.835 0.165 0.500
Y 0.500 0.500 0.500
Tm 0.333 0.667 0.000
Tm 0.667 0.333 0.000
P 0.916 0.575 0.749
P 0.742 0.742 0.250
P 0.084 0.425 0.251
P 0.575 0.916 0.749
P 0.258 0.258 0.750
P 0.425 0.084 0.251

***

No. 6
First-principles (GGA-PBE) data for a geometry-optimized TcNiTe2 structure, as listed in Alexandria via LeMat-Bulk.

Results
energy above the most stable polymorph in this dataset	0.5414	eV per atom
E_form (uncorrected)	555	meV/atom
space group	I-4m2 (119)

a = 5.556 Å, b = 5.556 Å, c = 5.556 Å
α = 138.68°, β = 138.68°, γ = 59.86°
Element x y z (fractional)
Ni 0.500 0.500 0.000
Tc 0.750 0.250 0.500
Te 0.000 0.000 0.000
Te 0.250 0.750 0.500

***

No. 7
First-principles (GGA-PBE) data for a geometry-optimized CaBeGa structure, as listed in Alexandria via LeMat-Bulk.

Results
raw total energy	-3.07	eV per atom
space group	P-6m2 (187)

a = 3.695 Å, b = 4.271 Å, c = 4.271 Å
α = 120.00°, β = 90.00°, γ = 90.00°
Element x y z (fractional)
Be 0.167 0.667 0.333
Ca 0.667 0.333 0.667
Ga 0.167 0.000 0.000

***

No. 8
First-principles (GGA-PBE) data for a geometry-optimized TiGaNiPd structure, as listed in Alexandria via LeMat-Bulk.

Results
raw total energy	-6.03	eV per atom
space group	F-43m (216)

a = 4.311 Å, b = 4.311 Å, c = 4.311 Å
α = 60.00°, β = 60.00°, γ = 60.00°
Element x y z (fractional)
Ni 0.500 0.500 0.500
Ga 0.750 0.750 0.750
Pd 0.000 0.000 0.000
Ti 0.250 0.250 0.250

***

No. 9
First-principles (GGA-PBE) data for a geometry-optimized LiSiRh2 structure, as listed in Alexandria via LeMat-Bulk.

Results
E_form (uncorrected)	-565	meV/atom
space group	Cm (8)

a = 4.667 Å, b = 4.667 Å, c = 4.222 Å
α = 74.93°, β = 74.93°, γ = 35.29°
Element x y z (fractional)
Li 0.747 0.747 0.815
Rh 0.000 0.000 0.929
Rh 0.245 0.245 0.325
Si 0.509 0.509 0.431

***

No. 10
First-principles (GGA-PBE) data for a geometry-optimized TmThH2 structure, as listed in Alexandria via LeMat-Bulk.

Results
energy above the most stable polymorph in this dataset	0.1012	eV per atom
space group	R3m (160)

a = 3.466 Å, b = 3.466 Å, c = 6.391 Å
α = 74.27°, β = 74.27°, γ = 60.00°
Element x y z (fractional)
Tm 0.670 0.670 0.991
Th 0.494 0.494 0.519
H 0.071 0.071 0.788
H 0.266 0.266 0.202

***

No. 11
First-principles (GGA-PBE) data for a geometry-optimized HfAlTl3 structure, as listed in Alexandria via LeMat-Bulk.

Results
energy above the most stable polymorph in this dataset	0.0959	eV per atom
space group	Pm-3m (221)

a = 5.254 Å, b = 5.254 Å, c = 5.254 Å
α = 90.00°, β = 90.00°, γ = 90.00°
Element x y z (fractional)
Tl 0.000 0.500 0.000
Tl 0.000 0.000 0.500
Tl 0.500 0.000 0.000
Hf 0.500 0.500 0.500
Al 0.000 0.000 0.000

***

No. 12
First-principles (GGA-PBE) data for a geometry-optimized Zn3Ga12Bi5 structure, as listed in Alexandria via LeMat-Bulk.

Results
raw total energy	-2.83	eV per atom
space group	Ia-3d (230)

a = 13.942 Å, b = 13.942 Å, c = 13.942 Å
α = 109.47°, β = 109.47°, γ = 109.47°
Element x y z (fractional)
Zn 0.750 0.375 0.125
Zn 0.875 0.750 0.125
Zn 0.375 0.750 0.625
Zn 0.250 0.125 0.375
Zn 0.875 0.125 0.250
Zn 0.375 0.625 0.250
Zn 0.625 0.375 0.750
Zn 0.125 0.875 0.750
Zn 0.750 0.875 0.625
Zn 0.625 0.250 0.375
Zn 0.125 0.250 0.875
Zn 0.250 0.625 0.875
Bi 0.125 0.375 0.250
Bi 0.000 0.500 0.000
Bi 0.000 0.000 0.000
Bi 0.375 0.250 0.125
Bi 0.500 0.000 0.500
Bi 0.500 0.500 0.000
Bi 0.125 0.750 0.375
Bi 0.750 0.125 0.875
Bi 0.750 0.625 0.375
Bi 0.375 0.125 0.750
Bi 0.625 0.875 0.250
Bi 0.500 0.500 0.500
Bi 0.500 0.000 0.000
Bi 0.000 0.000 0.500
Bi 0.250 0.375 0.625
Bi 0.250 0.875 0.125
Bi 0.000 0.500 0.500
Bi 0.875 0.250 0.625
Bi 0.625 0.750 0.875
Bi 0.875 0.625 0.750
Ga 0.749 0.139 0.081
Ga 0.332 0.581 0.443
Ga 0.919 0.361 0.251
Ga 0.581 0.249 0.139
Ga 0.611 0.749 0.668
Ga 0.919 0.557 0.168
Ga 0.332 0.751 0.389
Ga 0.057 0.889 0.139
Ga 0.557 0.919 0.668
Ga 0.749 0.611 0.168
Ga 0.751 0.419 0.361
Ga 0.832 0.943 0.081
Ga 0.139 0.749 0.581
Ga 0.361 0.443 0.111
Ga 0.111 0.943 0.361
Ga 0.389 0.139 0.557
Ga 0.111 0.168 0.249
Ga 0.419 0.668 0.057
Ga 0.832 0.889 0.251
Ga 0.139 0.389 0.057
Ga 0.361 0.919 0.751
Ga 0.557 0.639 0.389
Ga 0.943 0.832 0.581
Ga 0.751 0.332 0.889
Ga 0.443 0.361 0.611
Ga 0.057 0.168 0.419
Ga 0.249 0.668 0.111
Ga 0.168 0.111 0.749
Ga 0.639 0.081 0.249
Ga 0.861 0.611 0.943
Ga 0.581 0.332 0.943
Ga 0.611 0.861 0.443
Ga 0.889 0.832 0.751
Ga 0.889 0.057 0.639
Ga 0.861 0.251 0.419
Ga 0.168 0.057 0.919
Ga 0.639 0.557 0.889
Ga 0.443 0.081 0.332
Ga 0.251 0.389 0.832
Ga 0.249 0.581 0.639
Ga 0.943 0.111 0.861
Ga 0.668 0.249 0.611
Ga 0.419 0.751 0.861
Ga 0.081 0.443 0.832
Ga 0.389 0.251 0.332
Ga 0.081 0.639 0.749
Ga 0.668 0.419 0.557
Ga 0.251 0.861 0.919